Record 1
The following is a GGA-PBEsol calculation of an optimized crystal structure of NbAg2Ru, from the Alexandria database.

It has space group Fm-3m (No. 225), with a = 6.345 Å, b = 6.345 Å, c = 6.345 Å, α = 90.00°, β = 90.00° and γ = 90.00°. Symmetry generates all atoms from Nb at (0.000, 0.000, 0.000), Ag at (0.250, 0.250, 0.250) and Ru at (0.000, 0.000, 0.500).

As for the formation energy: 2.39 eV/f.u. The calculation puts the density of states at the Fermi level at 1.32 states/eV/atom.

---

Record 2
The following is a GGA-PBEsol calculation of an optimized crystal structure of LiLaSi2, from the Alexandria database.

It has space group Pmmm (No. 47), with a = 3.007 Å, b = 3.923 Å, c = 6.391 Å, α = 90.00°, β = 90.00° and γ = 90.00°. Symmetry generates all atoms from Li at (0.000, 0.000, 0.000), La at (0.000, 0.000, 0.500) and Si at (0.500, 0.500, 0.187).

The formation energy from raw total energies is -36 kJ/mol of atoms. The calculation puts the density of states at the Fermi level at 0.39 states/eV/atom. The value obtained for the relative energy among the computed polymorphs is 136 meV per atom.

---

Record 3
The following is a GGA-PBEsol calculation of an optimized crystal structure of GaTc2H2, from the Alexandria database.

It has space group I4/mmm (No. 139), with a = 3.050 Å, b = 3.050 Å, c = 10.105 Å, α = 90.00°, β = 90.00° and γ = 90.00°. Symmetry generates all atoms from Ga at (0.000, 0.000, 0.000), Tc at (0.000, 0.000, 0.351) and H at (0.000, 0.500, 0.250).

As for the uncorrected energy: -0.4795 Ry per atom. The calculation puts the density of states at the Fermi level at 0.60 states/eV/atom.

---

Record 4
The following is a GGA-PBEsol calculation of an optimized crystal structure of LiAgHg2Pt, from the Alexandria database.

It has space group P4/mmm (No. 123), with a = 5.148 Å, b = 5.148 Å, c = 4.540 Å, α = 90.00°, β = 90.00° and γ = 90.00°. Symmetry generates all atoms from Li at (0.000, 0.000, 0.000), Ag at (0.500, 0.500, 0.000), Hg at (0.000, 0.500, 0.500) and Pt at (0.000, 0.000, 0.500).

As for the formation energy: 1.16 eV/f.u. The calculation puts the density of states at the Fermi level at 0.38 states/eV/atom.

---

Record 5
The following is a GGA-PBEsol calculation of an optimized crystal structure of WBrO2, from the Alexandria database.

It has space group R-3m (No. 166, hexagonal axes), with a = 2.9591 Å, b = 2.9591 Å, c = 23.8311 Å, α = 90.00°, β = 90.00° and γ = 120.00°. Symmetry generates all atoms from W at (0.0000, 0.0000, 0.0000), Br at (0.0000, 0.0000, 0.5000) and O at (0.0000, 0.0000, 0.0754).

The formation energy from raw total energies is -5 kJ/mol of atoms. The calculation puts the density of states at the Fermi level at 0.95 states/eV/atom.

---

Record 6
The following is a GGA-PBEsol calculation of an optimized crystal structure of Tl2PtCl, from the Alexandria database.

It has space group Pmmm (No. 47), with a = 3.841 Å, b = 4.232 Å, c = 5.676 Å, α = 90.00°, β = 90.00° and γ = 90.00°. Symmetry generates all atoms from Tl at (0.000, 0.000, 0.000), Tl at (0.500, 0.500, 0.500), Pt at (0.000, 0.000, 0.500) and Cl at (0.500, 0.500, 0.000).

The formation energy from raw total energies is -26 kJ/mol of atoms. The calculation puts the density of states at the Fermi level at 0.30 states/eV/atom. The value obtained for the relative energy among the computed polymorphs is 0 meV per atom.

---

Record 7
The following is a GGA-PBEsol calculation of an optimized crystal structure of La5FePb3, from the Alexandria database.

It has space group P6_3/mcm (No. 193), with a = 9.7321 Å, b = 9.7321 Å, c = 6.5606 Å, α = 90.00°, β = 90.00° and γ = 120.00°. Symmetry generates all atoms from La at (0.0000, 0.2289, 0.2500), La at (0.3333, 0.6667, 0.0000), Fe at (0.0000, 0.0000, 0.0000) and Pb at (0.0000, 0.4072, 0.7500).

As for the formation energy: -3.67 eV/f.u. The calculation puts the density of states at the Fermi level at 1.18 states/eV/atom.

---

Record 8
The following is a GGA-PBEsol calculation of an optimized crystal structure of HfGa3Tc, from the Alexandria database.

It has space group Pm-3m (No. 221), with a = 4.951 Å, b = 4.951 Å, c = 4.951 Å, α = 90.00°, β = 90.00° and γ = 90.00°. Symmetry generates all atoms from Hf at (0.000, 0.000, 0.000), Ga at (0.000, 0.000, 0.500) and Tc at (0.500, 0.500, 0.500).

As for the formation energy: 7.01 eV/f.u. The calculation puts the density of states at the Fermi level at 0.41 states/eV/atom.

---

Record 9
The following is a GGA-PBEsol calculation of an optimized crystal structure of Na6Mn2B4PO16, from the Alexandria database.

It has space group Fd-3 (No. 203, origin choice 2), with a = 13.726 Å, b = 13.726 Å, c = 13.726 Å, α = 90.00°, β = 90.00° and γ = 90.00°. Symmetry generates all atoms from Na at (0.089, 0.375, 0.375), Mn at (0.000, 0.000, 0.500), B at (0.041, 0.041, 0.709), P at (0.125, 0.125, 0.125), O at (0.022, 0.116, 0.773) and O at (0.060, 0.060, 0.060).

The formation energy from raw total energies is -198 kJ/mol of atoms. The calculation puts the density of states at the Fermi level at 0.61 states/eV/atom.

---

Record 10
The following is a GGA-PBEsol calculation of an optimized crystal structure of CsTcPS2, from the Alexandria database.

It has space group P4/mmm (No. 123), with a = 4.809 Å, b = 4.809 Å, c = 4.616 Å, α = 90.00°, β = 90.00° and γ = 90.00°. Symmetry generates all atoms from Cs at (0.000, 0.000, 0.000), Tc at (0.500, 0.500, 0.500), P at (0.500, 0.500, 0.000) and S at (0.000, 0.500, 0.500).

The formation energy from raw total energies is -15 kJ/mol of atoms. The calculation puts the density of states at the Fermi level at 0.85 states/eV/atom.

---

Record 11
The following is a GGA-PBEsol calculation of an optimized crystal structure of CdNiHg, from the Alexandria database.

It has space group F-43m (No. 216), with a = 6.209 Å, b = 6.209 Å, c = 6.209 Å, α = 90.00°, β = 90.00° and γ = 90.00°. Symmetry generates all atoms from Cd at (0.000, 0.000, 0.000), Ni at (0.000, 0.000, 0.500) and Hg at (0.250, 0.250, 0.750).

As for the formation energy: 1.25 eV/f.u. The calculation puts the density of states at the Fermi level at 0.67 states/eV/atom. The value obtained for the relative energy among the computed polymorphs is 0 meV per atom.